(1)
Material: HgBi2Pd
Method: DFT, GGA-PBE
State: relaxed

- E_form: 0.097 eV per atom

Cell lengths 4.874, 4.874, 10.155 Å; angles 76.11, 76.11, 90.00 degrees
Sites, in units of the cell vectors:
Bi1 0.164 0.625 0.250
Bi2 0.875 0.836 0.750
Bi3 0.375 0.414 0.750
Bi4 0.586 0.125 0.250
Hg1 0.750 0.250 0.500
Hg2 0.000 0.000 0.000
Pd1 0.500 0.500 0.000
Pd2 0.250 0.750 0.500


(2)
Material: Hg2BiPd2
Method: DFT, GGA-PBE
State: relaxed

- Offset from the most stable computed form: 49.1 meV/atom
- E_form: -0.069 eV per atom

Cell lengths 8.166, 8.166, 3.134 Å; angles 90.00, 90.00, 90.00 degrees
Sites, in units of the cell vectors:
Hg1 0.371 0.871 0.000
Hg2 0.129 0.371 0.000
Hg3 0.629 0.129 0.000
Hg4 0.871 0.629 0.000
Pd1 0.168 0.668 0.500
Pd2 0.832 0.332 0.500
Pd3 0.668 0.832 0.500
Pd4 0.332 0.168 0.500
Bi1 0.500 0.500 0.000
Bi2 0.000 0.000 0.000


(3)
Material: Hg2BiPd6
Method: DFT, GGA-PBE
State: relaxed

- E_form: -0.134 eV per atom

Cell lengths 4.301, 4.927, 9.068 Å; angles 69.05, 76.28, 64.12 degrees
Sites, in units of the cell vectors:
Pd1 0.656 0.746 0.942
Pd2 0.659 0.073 0.609
Pd3 0.344 0.254 0.058
Pd4 0.016 0.807 0.161
Pd5 0.341 0.927 0.391
Pd6 0.984 0.193 0.839
Bi1 0.000 0.500 0.500
Hg1 0.307 0.636 0.750
Hg2 0.693 0.364 0.250


(4)
Material: HgBiPd2
Method: DFT, GGA-PBE
State: relaxed

- Offset from the most stable computed form: 6.0 meV/atom
- E_form: -0.185 eV per atom

Cell lengths 5.743, 7.465, 16.503 Å; angles 90.00, 90.00, 90.00 degrees
Sites, in units of the cell vectors:
Pd1 0.000 0.750 0.686
Pd2 0.000 0.250 0.814
Pd3 0.500 0.750 0.686
Pd4 0.500 0.250 0.566
Pd5 0.500 0.250 0.314
Pd6 0.000 0.750 0.186
Pd7 0.500 0.250 0.814
Pd8 0.500 0.250 0.066
Pd9 0.000 0.750 0.434
Pd10 0.500 0.750 0.934
Pd11 0.500 0.750 0.186
Pd12 0.000 0.250 0.066
Pd13 0.000 0.250 0.566
Pd14 0.000 0.250 0.314
Pd15 0.000 0.750 0.934
Pd16 0.500 0.750 0.434
Hg1 0.750 0.422 0.941
Hg2 0.250 0.078 0.441
Hg3 0.750 0.922 0.059
Hg4 0.250 0.078 0.941
Hg5 0.750 0.422 0.441
Hg6 0.250 0.578 0.559
Hg7 0.750 0.922 0.559
Hg8 0.250 0.578 0.059
Bi1 0.250 0.078 0.687
Bi2 0.750 0.422 0.687
Bi3 0.250 0.078 0.187
Bi4 0.250 0.578 0.313
Bi5 0.250 0.578 0.813
Bi6 0.750 0.922 0.813
Bi7 0.750 0.922 0.313
Bi8 0.750 0.422 0.187


(5)
Material: Hg2BiPd2
Method: DFT, GGA-PBE
State: relaxed

- Offset from the most stable computed form: 0.0 meV/atom
- E_form: -0.118 eV per atom

Cell lengths 4.757, 4.689, 9.968 Å; angles 90.08, 90.00, 90.00 degrees
Sites, in units of the cell vectors:
Hg1 0.250 0.750 0.679
Hg2 0.750 0.250 0.321
Hg3 0.750 0.249 0.005
Hg4 0.250 0.751 0.995
Pd1 0.750 0.751 0.503
Pd2 0.250 0.251 0.835
Pd3 0.250 0.249 0.497
Pd4 0.750 0.749 0.165
Bi1 0.750 0.251 0.673
Bi2 0.250 0.749 0.327


(6)
Material: Hg2BiPd9
Method: DFT, GGA-PBE
State: relaxed

- E_form: -0.166 eV per atom

Cell lengths 4.066, 4.066, 12.335 Å; angles 90.00, 90.00, 90.00 degrees
Sites, in units of the cell vectors:
Pd1 0.000 0.500 0.169
Pd2 0.500 0.500 0.667
Pd3 0.000 0.500 0.831
Pd4 0.500 0.000 0.169
Pd5 0.500 0.500 0.000
Pd6 0.500 0.000 0.831
Pd7 0.500 0.000 0.500
Pd8 0.500 0.500 0.333
Pd9 0.000 0.500 0.500
Bi1 0.000 0.000 0.000
Hg1 0.000 0.000 0.337
Hg2 0.000 0.000 0.663


(7)
Material: HgBiPd
Method: DFT, GGA-PBE
State: relaxed

- Offset from the most stable computed form: 14.9 meV/atom
- E_form: -0.151 eV per atom

Cell lengths 5.834, 6.821, 6.790 Å; angles 90.00, 90.00, 90.00 degrees
Sites, in units of the cell vectors:
Bi1 0.750 0.155 0.931
Bi2 0.250 0.655 0.431
Bi3 0.750 0.345 0.431
Bi4 0.250 0.845 0.931
Hg1 0.250 0.331 0.106
Hg2 0.250 0.169 0.606
Hg3 0.750 0.831 0.606
Hg4 0.750 0.669 0.106
Pd1 0.000 0.500 0.779
Pd2 0.500 0.500 0.779
Pd3 0.500 0.000 0.279
Pd4 0.000 0.000 0.279


(8)
Material: Hg2BiPd2
Method: DFT, GGA-PBE
State: relaxed

- Offset from the most stable computed form: 5.1 meV/atom
- E_form: -0.113 eV per atom

Cell lengths 7.867, 7.867, 3.350 Å; angles 90.00, 90.00, 90.00 degrees
Sites, in units of the cell vectors:
Pd1 0.862 0.638 0.000
Pd2 0.362 0.862 0.000
Pd3 0.138 0.362 0.000
Pd4 0.638 0.138 0.000
Hg1 0.158 0.658 0.500
Hg2 0.342 0.158 0.500
Hg3 0.842 0.342 0.500
Hg4 0.658 0.842 0.500
Bi1 0.500 0.500 0.000
Bi2 0.000 0.000 0.000


(9)
Material: Hg2Bi2Pd
Method: DFT, GGA-PBE
State: relaxed

- Offset from the most stable computed form: 66.8 meV/atom
- E_form: 0.110 eV per atom

Cell lengths 3.889, 3.889, 9.576 Å; angles 78.29, 78.29, 90.00 degrees
Sites, in units of the cell vectors:
Pd1 0.000 0.000 0.000
Hg1 0.250 0.750 0.500
Hg2 0.750 0.250 0.500
Bi1 0.583 0.583 0.833
Bi2 0.417 0.417 0.167


(10)
Material: Hg2Bi2Pd
Method: DFT, GGA-PBE
State: relaxed

- Offset from the most stable computed form: 0.0 meV/atom
- E_form: 0.043 eV per atom

Cell lengths 7.291, 7.291, 5.183 Å; angles 90.00, 90.00, 90.00 degrees
Sites, in units of the cell vectors:
Bi1 0.843 0.657 0.000
Bi2 0.657 0.157 0.000
Bi3 0.343 0.843 0.000
Bi4 0.157 0.343 0.000
Hg1 0.666 0.834 0.500
Hg2 0.334 0.166 0.500
Hg3 0.834 0.334 0.500
Hg4 0.166 0.666 0.500
Pd1 0.000 0.000 0.000
Pd2 0.500 0.500 0.000


(11)
Material: HgBi2Pd2
Method: DFT, GGA-PBE
State: relaxed

- Offset from the most stable computed form: 5.5 meV/atom
- E_form: -0.174 eV per atom

Cell lengths 4.690, 4.690, 6.191 Å; angles 89.99, 89.99, 60.00 degrees
Sites, in units of the cell vectors:
Bi1 0.167 0.667 0.326
Bi2 0.833 0.333 0.674
Hg1 0.500 0.000 0.000
Pd1 0.167 0.667 0.841
Pd2 0.833 0.333 0.159


(12)
Material: Hg2Bi2Pd7Pt
Method: DFT, GGA-PBE
State: relaxed

- E_form: -0.053 eV per atom

Cell lengths 3.859, 3.859, 16.072 Å; angles 83.09, 83.09, 90.01 degrees
Sites, in units of the cell vectors:
Bi1 0.191 0.191 0.621
Bi2 0.809 0.809 0.379
Pd1 0.500 0.500 0.000
Pd2 0.565 0.065 0.870
Pd3 0.725 0.725 0.552
Pd4 0.935 0.435 0.130
Pd5 0.275 0.275 0.448
Pd6 0.065 0.565 0.870
Pd7 0.435 0.935 0.130
Pt1 0.000 0.000 0.000
Hg1 0.631 0.631 0.740
Hg2 0.369 0.369 0.260


Size of the total moment (μB per cell)
0.00; 0.00; 0.00; 0.00; 0.00; 0.00; 0.00; 0.00; 0.00; 0.00; 0.00; 0.00
E (eV for the cell shown)
-25.733; -30.427; -36.847; -122.469; -30.918; -53.210; -39.312; -30.867; -13.009; -26.685; -19.319; -51.395